Entry 1:
Crystalline La11Tl9Au4 at its relaxed geometry, computed with PBE.

The structure belongs to space group Cmmm (No. 65); the cell edges are 15.478, 23.358 and 3.942 Å and the angles 90.00°, 90.00° and 90.00°. The inequivalent atoms are La at (0.000, 0.000, 0.000), La at (0.000, 0.163, 0.000), La at (0.000, 0.369, 0.000), La at (0.197, 0.500, 0.000), La at (0.240, 0.173, 0.000), Tl at (0.000, 0.500, 0.500), Tl at (0.106, 0.261, 0.500), Tl at (0.141, 0.073, 0.500) and Au at (0.151, 0.400, 0.500).

The theoretical density comes out at 9.68 g cm⁻³. As for the density of states at the Fermi level: 39.2 states/eV per cell. Its calculated formation energy is -0.569 eV/atom. The final energy is -204.51 eV/cell.



Entry 2:
Crystalline La4TlAu3 at its relaxed geometry, computed with PBE.

The structure belongs to space group R-3m (No. 166, hexagonal axes); the cell edges are 5.4204, 5.4204 and 26.5143 Å and the angles 90.00°, 90.00° and 120.00°. The inequivalent atoms are La at (0.0000, 0.0000, 0.1186), La at (0.0000, 0.0000, 0.3696), Tl at (0.0000, 0.0000, 0.5000), Au at (0.0000, 0.0000, 0.0000) and Au at (0.0000, 0.0000, 0.2420).

The theoretical density comes out at 9.98 g cm⁻³. As for the density of states at the Fermi level: 20.9 states/eV per cell. Its calculated formation energy is -0.685 eV/atom. The final energy is -112.15 eV/cell.



Entry 3:
Crystalline La2TlAu at its relaxed geometry, computed with PBE.

The structure belongs to space group I-42d (No. 122); the cell edges are 8.531, 8.531 and 7.064 Å and the angles 90.00°, 90.00° and 90.00°. The inequivalent atoms are La at (0.216, 0.250, 0.125), Tl at (0.000, 0.000, 0.500) and Au at (0.000, 0.000, 0.000).

The theoretical density comes out at 8.77 g cm⁻³. As for the density of states at the Fermi level: 13.2 states/eV per cell. Its calculated formation energy is -0.330 eV/atom. The final energy is -67.28 eV/cell.



Entry 4:
Crystalline La6TlAu5 at its relaxed geometry, computed with PBE.

The structure belongs to space group Immm (No. 71); the cell edges are 5.352, 7.693 and 16.143 Å and the angles 90.00°, 90.00° and 90.00°. The inequivalent atoms are La at (0.000, 0.234, 0.000), La at (0.000, 0.256, 0.328), Tl at (0.000, 0.000, 0.500), Au at (0.000, 0.000, 0.168), Au at (0.000, 0.500, 0.154) and Au at (0.000, 0.500, 0.500).

The theoretical density comes out at 10.11 g cm⁻³. As for the density of states at the Fermi level: 20.1 states/eV per cell. Its calculated formation energy is -0.714 eV/atom. The final energy is -113.76 eV/cell.



Entry 5:
Crystalline La3Tl2Au2 at its relaxed geometry, computed with PBE.

The structure belongs to space group Cmmm (No. 65); the cell edges are 4.592, 23.377 and 3.715 Å and the angles 90.00°, 90.00° and 90.00°. The inequivalent atoms are La at (0.000, 0.000, 0.000), La at (0.000, 0.167, 0.000), Tl at (0.000, 0.420, 0.500) and Au at (0.000, 0.286, 0.500).

The theoretical density comes out at 10.15 g cm⁻³. As for the density of states at the Fermi level: 14.2 states/eV per cell. Its calculated formation energy is -0.623 eV/atom. The final energy is -60.87 eV/cell.



Entry 6:
Crystalline La2TlAu6 at its relaxed geometry, computed with PBE.

The structure belongs to space group P6/mmm (No. 191); the cell edges are 8.3138, 8.3138 and 3.6587 Å and the angles 90.00°, 90.00° and 120.00°. The inequivalent atoms are La at (0.3333, 0.6667, 0.0000), Tl at (0.0000, 0.0000, 0.0000) and Au at (0.0000, 0.3334, 0.5000).

The theoretical density comes out at 12.62 g cm⁻³. As for the density of states at the Fermi level: 4.5 states/eV per cell. Its calculated formation energy is -0.530 eV/atom. The final energy is -36.65 eV/cell.



What did the fourth record say?
Crystalline La6TlAu5 at its relaxed geometry, computed with PBE.

The structure belongs to space group Immm (No. 71); the cell edges are 5.352, 7.693 and 16.143 Å and the angles 90.00°, 90.00° and 90.00°. The inequivalent atoms are La at (0.000, 0.234, 0.000), La at (0.000, 0.256, 0.328), Tl at (0.000, 0.000, 0.500), Au at (0.000, 0.000, 0.168), Au at (0.000, 0.500, 0.154) and Au at (0.000, 0.500, 0.500).

The theoretical density comes out at 10.11 g cm⁻³. As for the density of states at the Fermi level: 20.1 states/eV per cell. Its calculated formation energy is -0.714 eV/atom. The final energy is -113.76 eV/cell.



The highest theoretical density belongs to which entry?
La2TlAu6